# ThAlGaNi3

A geometry-optimized ThAlGaNi3 structure (PBE, Alexandria).

Cell and atoms, written as POSCAR:
```
ThAlGaNi3
1.0
2.673 -5.731 0.000
2.673 5.731 0.000
0.000 0.000 6.634
Th Al Ga Ni
2 2 2 6
Direct
0.178 0.822 0.750
0.822 0.178 0.250
0.128 0.872 0.250
0.872 0.128 0.750
0.439 0.561 0.750
0.561 0.439 0.250
0.232 0.232 0.000
0.232 0.232 0.500
0.343 0.657 0.250
0.657 0.343 0.750
0.768 0.768 0.000
0.768 0.768 0.500
```

Computed properties:
The value obtained for the formation energy from the elements is -0.36 eV/atom. As for the magnetic moment: 0.000 μB per atom.